1.
NaInTc3 | PBE-GGA | relaxed

Lattice parameters (Å, degrees): 4.568 4.568 4.568 90.00 90.00 90.00
Element x y z (fractional)
Na 0.000 0.000 0.000
In 0.500 0.500 0.500
Tc 0.000 0.000 0.500
Tc 0.000 0.500 0.000
Tc 0.500 0.000 0.000

Values from the calculation:
SG: Pm-3m, No. 221
formation enthalpy at 0 K: 215.4 kJ/mol of atoms

***

2.
NaIn3Tc | PBE-GGA | relaxed

Lattice parameters (Å, degrees): 5.229 5.229 5.229 90.00 90.00 90.00
Element x y z (fractional)
Na 0.000 0.000 0.000
In 0.000 0.500 0.500
In 0.500 0.000 0.500
In 0.500 0.500 0.000
Tc 0.500 0.500 0.500

Values from the calculation:
SG: Pm-3m, No. 221
formation enthalpy at 0 K: 9.7 kJ/mol of atoms

***

3.
NaIn2Tc | PBE-GGA | relaxed

Lattice parameters (Å, degrees): 4.795 4.795 4.795 60.00 60.00 60.00
Element x y z (fractional)
Na 0.000 0.000 0.000
In 0.250 0.250 0.250
In 0.750 0.750 0.750
Tc 0.500 0.500 0.500

Values from the calculation:
SG: Fm-3m, No. 225
formation enthalpy at 0 K: 30.8 kJ/mol of atoms

***

4.
NaInTc2 | PBE-GGA | relaxed

Lattice parameters (Å, degrees): 6.094 6.094 6.094 100.05 100.05 130.62
Element x y z (fractional)
Na 0.000 0.000 0.000
Na 0.750 0.250 0.500
In 0.250 0.750 0.500
In 0.500 0.500 0.000
Tc 0.155 0.625 0.030
Tc 0.375 0.405 0.530
Tc 0.595 0.125 0.970
Tc 0.875 0.845 0.470

Values from the calculation:
SG: I-42d, No. 122
formation enthalpy at 0 K: 109.0 kJ/mol of atoms

***

5.
NaIn3Tc | PBE-GGA | relaxed

Lattice parameters (Å, degrees): 5.271 5.271 5.271 90.00 90.00 90.00
Element x y z (fractional)
Na 0.000 0.000 0.000
In 0.000 0.000 0.500
In 0.000 0.500 0.000
In 0.500 0.000 0.000
Tc 0.500 0.500 0.500

Values from the calculation:
SG: Pm-3m, No. 221
formation enthalpy at 0 K: 125.4 kJ/mol of atoms

***

6.
NaTlInTc2 | PBE-GGA | relaxed

Lattice parameters (Å, degrees): 5.141 5.141 5.110 90.00 90.00 90.00
Element x y z (fractional)
Na 0.000 0.000 0.000
Tl 0.000 0.000 0.500
In 0.500 0.500 0.000
Tc 0.000 0.500 0.500
Tc 0.500 0.000 0.500

Values from the calculation:
SG: P4/mmm, No. 123
formation enthalpy at 0 K: 155.2 kJ/mol of atoms

***

7.
NaIn2Te2 | PBE-GGA | relaxed

Lattice parameters (Å, degrees): 8.589 8.589 4.303 90.00 90.00 90.00
Element x y z (fractional)
Na 0.000 0.000 0.000
Na 0.500 0.500 0.000
In 0.136 0.364 0.500
In 0.364 0.864 0.500
In 0.636 0.136 0.500
In 0.864 0.636 0.500
Te 0.170 0.670 0.000
Te 0.330 0.170 0.000
Te 0.670 0.830 0.000
Te 0.830 0.330 0.000

Values from the calculation:
SG: P4/mbm, No. 127
formation energy (no corrections): -0.33 eV/atom

***

8.
NaInTe | PBE-GGA | relaxed

Lattice parameters (Å, degrees): 9.297 9.297 9.297 154.02 143.36 45.46
Element x y z (fractional)
Na 0.164 0.164 0.000
Na 0.836 0.836 0.000
In 0.240 0.500 0.740
In 0.760 0.500 0.260
Te 0.350 0.350 0.000
Te 0.650 0.650 0.000

Values from the calculation:
SG: Immm, No. 71
formation energy (no corrections): -0.26 eV/atom

***

9.
NaInTe | PBE-GGA | relaxed

Lattice parameters (Å, degrees): 4.261 5.143 9.266 90.00 103.24 90.00
Element x y z (fractional)
Na 0.170 0.250 0.347
Na 0.830 0.750 0.653
In 0.034 0.750 0.070
In 0.966 0.250 0.930
Te 0.352 0.250 0.703
Te 0.648 0.750 0.297

Values from the calculation:
SG: P2_1/m, No. 11
formation energy (no corrections): -0.56 eV/atom

***

10.
NaIn2Te2 | PBE-GGA | relaxed

Lattice parameters (Å, degrees): 7.993 7.993 6.607 98.25 98.25 110.97
Element x y z (fractional)
Na 0.143 0.857 0.000
Na 0.857 0.143 0.000
In 0.248 0.248 0.647
In 0.382 0.618 0.500
In 0.618 0.382 0.500
In 0.752 0.752 0.353
Te 0.155 0.845 0.500
Te 0.284 0.284 0.083
Te 0.716 0.716 0.917
Te 0.845 0.155 0.500

Values from the calculation:
SG: C2/m, No. 12
formation energy (no corrections): -0.34 eV/atom

***

11.
NaInTe3 | PBE-GGA | relaxed

Lattice parameters (Å, degrees): 5.765 5.765 5.765 90.00 90.00 90.00
Element x y z (fractional)
Na 0.000 0.000 0.000
In 0.500 0.500 0.500
Te 0.000 0.500 0.500
Te 0.500 0.000 0.500
Te 0.500 0.500 0.000

Values from the calculation:
SG: Pm-3m, No. 221
formation energy (no corrections): 0.02 eV/atom

***

12.
NaIn2Te2 | PBE-GGA | relaxed

Lattice parameters (Å, degrees): 8.638 8.638 8.638 150.02 150.02 42.92
Element x y z (fractional)
Na 0.000 0.000 0.000
In 0.250 0.750 0.500
In 0.750 0.250 0.500
Te 0.408 0.408 0.000
Te 0.592 0.592 0.000

Values from the calculation:
SG: I4/mmm, No. 139
formation energy (no corrections): -0.28 eV/atom

***

13.
Na2In2Te5 | PBE-GGA | relaxed

Lattice parameters (Å, degrees): 9.323 9.323 8.137 105.66 105.66 28.49
Element x y z (fractional)
Na 0.091 0.091 0.364
Na 0.909 0.909 0.636
In 0.363 0.363 0.205
In 0.637 0.637 0.795
Te 0.220 0.220 0.733
Te 0.419 0.419 0.915
Te 0.500 0.500 0.500
Te 0.581 0.581 0.085
Te 0.780 0.780 0.267

Values from the calculation:
SG: C2/m, No. 12
formation energy (no corrections): -0.47 eV/atom

***

14.
NaIn2Te | PBE-GGA | relaxed

Lattice parameters (Å, degrees): 4.540 4.540 5.587 90.00 90.00 90.00
Element x y z (fractional)
Na 0.000 0.000 0.000
In 0.000 0.500 0.500
In 0.500 0.000 0.500
Te 0.500 0.500 0.000

Values from the calculation:
SG: P4/mmm, No. 123
formation energy (no corrections): -0.32 eV/atom

***

15.
NaIn6Te8 | PBE-GGA | relaxed

Lattice parameters (Å, degrees): 8.346 8.346 8.346 92.70 92.70 92.70
Element x y z (fractional)
Na 0.000 0.000 0.000
In 0.168 0.377 0.549
In 0.377 0.549 0.168
In 0.451 0.832 0.623
In 0.549 0.168 0.377
In 0.623 0.451 0.832
In 0.832 0.623 0.451
Te 0.161 0.718 0.390
Te 0.229 0.229 0.229
Te 0.282 0.610 0.839
Te 0.390 0.161 0.718
Te 0.610 0.839 0.282
Te 0.718 0.390 0.161
Te 0.771 0.771 0.771
Te 0.839 0.282 0.610

Values from the calculation:
SG: R-3, No. 148
formation energy (no corrections): -0.23 eV/atom

***

16.
NaInTe3 | PBE-GGA | relaxed

Lattice parameters (Å, degrees): 9.274 8.086 12.539 90.00 127.61 90.00
Element x y z (fractional)
Na 0.016 0.190 0.366
Na 0.016 0.310 0.866
Na 0.984 0.690 0.134
Na 0.984 0.810 0.634
In 0.361 0.708 0.073
In 0.361 0.792 0.573
In 0.639 0.208 0.427
In 0.639 0.292 0.927
Te 0.006 0.198 0.621
Te 0.006 0.302 0.121
Te 0.391 0.574 0.773
Te 0.391 0.926 0.273
Te 0.448 0.173 0.027
Te 0.448 0.327 0.527
Te 0.552 0.673 0.473
Te 0.552 0.827 0.973
Te 0.609 0.074 0.727
Te 0.609 0.426 0.227
Te 0.994 0.698 0.879
Te 0.994 0.802 0.379

Values from the calculation:
SG: P2_1/c, No. 14
formation energy (no corrections): -0.37 eV/atom

***

17.
NaInTe | PBE-GGA | relaxed

Lattice parameters (Å, degrees): 6.079 6.079 6.079 139.80 139.80 58.16
Element x y z (fractional)
Na 0.000 0.000 0.000
In 0.309 0.309 0.000
Te 0.674 0.674 0.000

Values from the calculation:
SG: I4mm, No. 107
formation energy (no corrections): -0.40 eV/atom

***

18.
NaInTe3 | PBE-GGA | relaxed

Lattice parameters (Å, degrees): 5.648 5.648 5.648 90.00 90.00 90.00
Element x y z (fractional)
Na 0.000 0.000 0.000
In 0.500 0.500 0.500
Te 0.000 0.000 0.500
Te 0.000 0.500 0.000
Te 0.500 0.000 0.000

Values from the calculation:
SG: Pm-3m, No. 221
formation energy (no corrections): 0.34 eV/atom

***

19.
Na3In2Te4 | PBE-GGA | relaxed

Lattice parameters (Å, degrees): 9.808 9.808 8.839 91.70 91.70 48.65
Element x y z (fractional)
Na 0.010 0.990 0.750
Na 0.329 0.451 0.300
Na 0.451 0.329 0.800
Na 0.549 0.671 0.200
Na 0.671 0.549 0.700
Na 0.990 0.010 0.250
In 0.061 0.312 0.985
In 0.312 0.061 0.485
In 0.688 0.939 0.515
In 0.939 0.688 0.015
Te 0.097 0.378 0.674
Te 0.223 0.685 0.001
Te 0.315 0.777 0.499
Te 0.378 0.097 0.174
Te 0.622 0.903 0.826
Te 0.685 0.223 0.501
Te 0.777 0.315 0.999
Te 0.903 0.622 0.326

Values from the calculation:
SG: C2/c, No. 15
formation energy (no corrections): -0.55 eV/atom

***

20.
Na3InTe | PBE-GGA | relaxed

Lattice parameters (Å, degrees): 5.735 5.735 5.735 90.00 90.00 90.00
Element x y z (fractional)
Na 0.000 0.000 0.500
Na 0.000 0.500 0.000
Na 0.500 0.000 0.000
In 0.000 0.000 0.000
Te 0.500 0.500 0.500

Values from the calculation:
SG: Pm-3m, No. 221
formation energy (no corrections): 0.13 eV/atom

***

21.
Na3InTe3 | PBE-GGA | relaxed

Lattice parameters (Å, degrees): 9.053 8.166 13.154 90.00 97.39 90.00
Element x y z (fractional)
Na 0.086 0.247 0.088
Na 0.086 0.253 0.588
Na 0.187 0.715 0.192
Na 0.187 0.785 0.692
Na 0.403 0.185 0.372
Na 0.403 0.315 0.872
Na 0.597 0.685 0.128
Na 0.597 0.815 0.628
Na 0.813 0.215 0.308
Na 0.813 0.285 0.808
Na 0.914 0.747 0.412
Na 0.914 0.753 0.912
In 0.319 0.600 0.449
In 0.319 0.900 0.949
In 0.681 0.100 0.051
In 0.681 0.400 0.551
Te 0.100 0.078 0.830
Te 0.100 0.422 0.330
Te 0.238 0.580 0.980
Te 0.238 0.920 0.480
Te 0.413 0.048 0.144
Te 0.413 0.452 0.644
Te 0.587 0.548 0.356
Te 0.587 0.952 0.856
Te 0.762 0.080 0.520
Te 0.762 0.420 0.020
Te 0.900 0.578 0.670
Te 0.900 0.922 0.170

Values from the calculation:
SG: P2_1/c, No. 14
formation energy (no corrections): -0.71 eV/atom

***

22.
NaInTe | PBE-GGA | relaxed

Lattice parameters (Å, degrees): 4.409 4.409 6.073 90.00 90.00 120.00
Element x y z (fractional)
Na 0.000 0.000 0.000
In 0.667 0.333 0.587
Te 0.333 0.667 0.310

Values from the calculation:
SG: P3m1, No. 156
formation energy (no corrections): -0.48 eV/atom

***

23.
NaInTe | PBE-GGA | relaxed

Lattice parameters (Å, degrees): 9.520 9.520 9.520 20.37 20.37 20.37
Element x y z (fractional)
Na 0.000 0.000 0.000
In 0.116 0.116 0.116
Te 0.890 0.890 0.890

Values from the calculation:
SG: R3m, No. 160
formation energy (no corrections): 0.01 eV/atom

***

24.
NaIn5Te4 | PBE-GGA | relaxed

Lattice parameters (Å, degrees): 9.513 10.066 8.371 90.00 90.00 90.00
Element x y z (fractional)
Na 0.250 0.250 0.240
Na 0.750 0.750 0.760
In 0.073 0.009 0.758
In 0.073 0.491 0.758
In 0.250 0.750 0.179
In 0.427 0.009 0.758
In 0.427 0.491 0.758
In 0.573 0.509 0.242
In 0.573 0.991 0.242
In 0.750 0.250 0.821
In 0.927 0.509 0.242
In 0.927 0.991 0.242
Te 0.009 0.750 0.980
Te 0.250 0.528 0.387
Te 0.250 0.972 0.387
Te 0.491 0.750 0.980
Te 0.509 0.250 0.020
Te 0.750 0.028 0.613
Te 0.750 0.472 0.613
Te 0.991 0.250 0.020

Values from the calculation:
SG: Pmmn, No. 59
formation energy (no corrections): -0.26 eV/atom

***

no.,size of the total moment (μB/f.u.)
1,5.06
2,0.00
3,0.00
4,0.78
5,3.64
6,4.23
7,0.00
8,0.00
9,0.00
10,0.00
11,0.00
12,0.00
13,0.00
14,0.00
15,0.00
16,0.00
17,0.00
18,0.00
19,0.00
20,0.00
21,0.00
22,0.00
23,0.00
24,0.00